Entry 1:
The following is a GGA-PBEsol calculation of ScMoBr after structural relaxation, from the Alexandria database.

Computed properties:
formation energy from raw total energies	0.70	eV per formula unit
symmetry	P-6m2 (187)
volume	17.860	A^3/atom

abc: 3.0236 4.5234 4.5234
angles: 120.00 90.00 90.00
Last column: nearest neighbours and their distance in Å.
Positions (direct):
Br: 0.0000 0.0000 0.0000  3 Mo 2.61
Mo: 0.0000 0.3333 0.6667  3 Br 2.61
Sc: 0.5000 0.6667 0.3333  6 Br 3.02, 6 Mo 3.02, 2 Sc 3.02

---

Entry 2:
The following is a GGA-PBEsol calculation of Mo2SeBr after structural relaxation, from the Alexandria database.

Computed properties:
formation energy from raw total energies	1.80	eV per formula unit
relative energy among the computed polymorphs	0	meV per atom
symmetry	P4/mmm (123)
volume	15.394	A^3/atom

abc: 3.1381 4.4297 4.4297
angles: 90.00 90.00 90.00
Last column: nearest neighbours and their distance in Å.
Positions (direct):
Br: 0.5000 0.0000 0.0000  8 Mo 2.71
Mo: 0.0000 0.0000 0.5000  4 Se 2.71, 4 Br 2.71
Mo: 0.0000 0.5000 0.0000  4 Se 2.71, 4 Br 2.71
Se: 0.5000 0.5000 0.5000  8 Mo 2.71

---

Respective energy values: -6.514, -6.863 eV per atom.